Here is a geometry-optimized SmDyTm4 structure from Alexandria via LeMat-Bulk. Energies are from GGA-PBE.

abc: 6.5291 6.5291 6.5291
angles: 60.00 60.00 60.00
Last column: nearest neighbours and their distance in Å.
Fractional coordinates of all 6 atoms:
Sm 0.2500 0.2500 0.2500  12 Tm 3.83, 4 Dy 4.00
Tm 0.1238 0.6254 0.6254  6 Tm 3.25-3.27
Tm 0.6254 0.6254 0.6254  6 Tm 3.25-3.27
Tm 0.6254 0.6254 0.1238  6 Tm 3.25-3.27
Tm 0.6254 0.1238 0.6254  6 Tm 3.25-3.27
Dy 0.0000 0.0000 0.0000  12 Tm 3.83, 4 Sm 4.00

The density of states at the Fermi level is 2.11 states/eV per atom. The value obtained for the formation energy is 284 meV per atom. The volume is 32.8 Å³/atom. The crystal system is cubic. Its total moment is 1.4 μB/cell.

---

Here is a geometry-optimized Cs3Ba structure from Alexandria via LeMat-Bulk. Energies are from GGA-PBE.

abc: 7.2063 7.2063 9.0311
angles: 113.51 113.51 90.00
Last column: nearest neighbours and their distance in Å.
Fractional coordinates of all 4 atoms:
Cs 0.5000 0.5000 0.0000  4 Ba 5.10, 8 Cs 5.18
Cs 0.7500 0.2500 0.5000  8 Cs 5.10-5.18, 4 Ba 5.18
Cs 0.2500 0.7500 0.5000  8 Cs 5.10-5.18, 4 Ba 5.18
Ba 0.0000 0.0000 0.0000  12 Cs 5.10-5.18

The density of states at the Fermi level is 1.71 states/eV per atom. The value obtained for the formation energy is 154 meV per atom. The volume is 96.8 Å³/atom. The crystal system is tetragonal. Its total moment is 0.0 μB/cell.